First-principles (PBE) data for NdSmHoSc after structural relaxation, as listed in the Alexandria database.

## Properties
The energy relative to the elements comes out at 9.9 kJ per mole of atoms. The energy above the most stable polymorph in this dataset comes out at 2.6 meV/atom. The calculation puts the density of states at the Fermi level at 24.7 states/eV/cell.

Cell lengths 7.9251, 7.9251, 7.9251 Å; angles 90.00, 90.00, 90.00 degrees
Closest atoms and distances in Å follow each position.
Element x y z (fractional)
Nd1 0.0000 0.0000 0.0000  4 Ho 3.43, 4 Sc 3.43
Nd2 0.0000 0.5000 0.5000  4 Ho 3.43, 4 Sc 3.43
Nd3 0.5000 0.0000 0.5000  4 Ho 3.43, 4 Sc 3.43
Nd4 0.5000 0.5000 0.0000  4 Ho 3.43, 4 Sc 3.43
Sm1 0.0000 0.0000 0.5000  4 Ho 3.43, 4 Sc 3.43
Sm2 0.0000 0.5000 0.0000  4 Ho 3.43, 4 Sc 3.43
Sm3 0.5000 0.0000 0.0000  4 Ho 3.43, 4 Sc 3.43
Sm4 0.5000 0.5000 0.5000  4 Ho 3.43, 4 Sc 3.43
Ho1 0.2500 0.2500 0.2500  4 Nd 3.43, 4 Sm 3.43
Ho2 0.2500 0.7500 0.7500  4 Nd 3.43, 4 Sm 3.43
Ho3 0.7500 0.2500 0.7500  4 Nd 3.43, 4 Sm 3.43
Ho4 0.7500 0.7500 0.2500  4 Nd 3.43, 4 Sm 3.43
Sc1 0.2500 0.2500 0.7500  4 Nd 3.43, 4 Sm 3.43
Sc2 0.2500 0.7500 0.2500  4 Nd 3.43, 4 Sm 3.43
Sc3 0.7500 0.2500 0.2500  4 Nd 3.43, 4 Sm 3.43
Sc4 0.7500 0.7500 0.7500  4 Sm 3.43, 4 Nd 3.43